(1)
A relaxed structure of SmDyIn2Br2, computed with GGA-PBE.

```
6
Lattice="4.454 0.000 0.000 -2.227 3.857 0.000 0.000 0.000 10.952" Properties=species:S:1:pos:R:3 pbc="T T T"
Sm 0.000 0.000 0.000
Dy 0.000 0.000 4.458
In 0.000 2.571 2.788
In 2.227 1.286 1.738
Br 0.000 2.571 9.283
Br 2.227 1.286 6.061
```

Calculated values
Mass density   6.199 Mg/m³
Crystal system   trigonal
Energy   -4.013 eV/atom

(2)
A relaxed structure of CsKNd, computed with GGA-PBE.

```
3
Lattice="0.000 4.742 4.742 4.742 0.000 4.742 4.742 4.742 0.000" Properties=species:S:1:pos:R:3 pbc="T T T"
Cs 0.000 0.000 0.000
K 7.113 7.113 7.113
Nd 2.371 2.371 2.371
```

Calculated values
Mass density   2.462 Mg/m³
Crystal system   cubic
Energy   -1.204 eV/atom

(3)
A relaxed structure of NdGePO, computed with GGA-PBE.

```
8
Lattice="3.861 0.000 0.000 0.000 6.084 0.000 0.000 0.000 7.038" Properties=species:S:1:pos:R:3 pbc="T T T"
Nd 0.000 1.353 0.000
Nd 0.000 4.731 3.519
Ge 1.930 2.375 4.211
Ge 1.930 3.709 0.692
P 0.000 1.560 2.958
P 0.000 4.524 6.477
O 1.930 1.331 5.780
O 1.930 4.753 2.261
```

Calculated values
Mass density   5.301 Mg/m³
Crystal system   orthorhombic
Energy   -6.294 eV/atom
Relative energy among the computed polymorphs   62 meV per atom

(4)
A relaxed structure of YErB4, computed with GGA-PBE.

```
6
Lattice="-1.642 2.844 3.827 1.642 -2.844 3.827 1.642 2.844 -3.827" Properties=species:S:1:pos:R:3 pbc="T T T"
Y 0.000 0.000 0.000
Er 0.000 0.000 3.827
B 1.642 -0.948 1.917
B 1.642 0.948 1.917
B 0.000 1.896 1.910
B 0.000 3.791 1.910
```

Calculated values
Mass density   6.955 Mg/m³
Crystal system   orthorhombic
Energy   -6.882 eV/atom

(5)
A relaxed structure of AcTh, computed with GGA-PBE.

```
2
Lattice="0.000 3.739 3.739 3.739 0.000 3.739 3.739 3.739 0.000" Properties=species:S:1:pos:R:3 pbc="T T T"
Ac 0.000 0.000 0.000
Th 5.608 5.608 5.608
```

Calculated values
Mass density   7.293 Mg/m³
Crystal system   cubic
Energy   -3.776 eV/atom
Relative energy among the computed polymorphs   1814 meV per atom
ΔE_f   1.98 eV/atom

(6)
A relaxed structure of GdBiN2O, computed with GGA-PBE.

```
40
Lattice="8.256 0.000 0.000 0.000 8.180 0.000 -7.948 0.000 8.554" Properties=species:S:1:pos:R:3 pbc="T T T"
Gd 0.192 1.876 0.237
Gd -3.781 2.214 4.514
Gd -0.207 5.924 4.115
Gd -4.181 6.346 8.393
Gd 4.489 1.834 0.162
Gd 0.516 2.256 4.439
Gd 4.090 5.966 4.041
Gd 0.116 6.304 8.318
Bi -1.931 0.042 2.314
Bi -5.905 4.048 6.591
Bi 2.199 4.166 2.005
Bi -1.775 8.104 6.282
Bi 2.083 0.076 2.272
Bi -1.890 4.014 6.549
Bi 6.213 4.132 1.963
Bi 2.240 8.139 6.240
N -5.138 6.081 6.167
N -1.165 6.190 1.890
N 1.606 4.838 0.019
N -2.367 7.433 4.296
N 0.056 0.850 2.512
N -3.918 3.240 6.789
N -1.585 1.983 5.556
N 2.389 2.107 1.279
N -2.080 6.073 7.275
N 1.893 6.197 2.998
N 4.227 4.940 1.765
N 0.253 7.330 6.042
N 2.676 0.747 4.258
N -1.298 3.343 8.535
N 1.473 1.991 6.664
N 5.447 2.099 2.387
O -2.424 4.462 4.311
O 1.550 7.809 0.034
O -3.885 0.244 7.111
O 0.088 3.846 2.834
O 0.220 4.334 5.720
O 4.194 7.936 1.443
O -1.241 0.372 8.520
O 2.733 3.719 4.243
```

Calculated values
Mass density   9.433 Mg/m³
Crystal system   monoclinic
Energy   -6.678 eV/atom

(7)
A relaxed structure of Li2Sc2Ge2PdPt, computed with GGA-PBE.

```
8
Lattice="4.446 0.000 0.000 0.000 4.446 0.000 0.000 0.000 6.288" Properties=species:S:1:pos:R:3 pbc="T T T"
Li 0.000 0.000 0.000
Li 2.223 2.223 3.144
Sc 0.000 2.223 1.573
Sc 2.223 0.000 4.715
Ge 0.000 2.223 4.708
Ge 2.223 0.000 1.580
Pd 0.000 0.000 3.144
Pt 2.223 2.223 0.000
```

Calculated values
Mass density   7.355 Mg/m³
Crystal system   tetragonal
Energy   -5.444 eV/atom

(8)
A relaxed structure of Hf4SiSnC2, computed with GGA-PBE.

```
8
Lattice="3.304 0.000 0.000 -1.652 2.862 0.000 0.000 0.000 13.973" Properties=species:S:1:pos:R:3 pbc="T T T"
Hf 0.000 0.000 2.068
Hf 0.000 0.000 11.905
Hf 1.652 0.954 4.573
Hf 1.652 0.954 9.399
Si 1.652 0.954 0.000
Sn 0.000 0.000 6.986
C 0.000 1.908 3.340
C 0.000 1.908 10.633
```

Calculated values
Mass density   11.121 Mg/m³
Crystal system   hexagonal
Energy   -9.243 eV/atom

(9)
A relaxed structure of CdP14Pb, computed with GGA-PBE.

```
64
Lattice="12.930 0.000 0.000 0.000 9.784 0.000 0.000 0.000 11.545" Properties=species:S:1:pos:R:3 pbc="T T T"
Cd 2.675 2.446 1.187
Cd 3.790 7.338 6.960
Cd 9.140 2.446 4.585
Cd 10.255 7.338 10.358
P 0.078 7.338 3.734
P 0.279 5.846 7.128
P 0.279 8.831 7.128
P 0.432 2.446 2.605
P 1.011 5.730 4.880
P 1.011 8.947 4.880
P 1.079 7.338 10.501
P 1.163 0.841 10.815
P 1.163 4.051 10.815
P 2.318 5.329 7.806
P 2.318 9.347 7.806
P 2.343 2.446 9.981
P 2.438 5.642 9.986
P 2.438 9.034 9.986
P 4.027 0.750 4.213
P 4.027 4.142 4.213
P 4.122 7.338 4.208
P 4.147 0.437 2.034
P 4.147 4.455 2.034
P 5.302 5.733 5.042
P 5.302 8.944 5.042
P 5.386 2.446 4.729
P 5.454 0.838 10.653
P 5.454 4.054 10.653
P 6.033 7.338 8.377
P 6.186 0.954 1.355
P 6.186 3.939 1.355
P 6.387 2.446 9.507
P 6.543 7.338 2.039
P 6.744 5.846 10.191
P 6.744 8.831 10.191
P 6.898 2.446 3.168
P 7.476 5.730 0.892
P 7.476 8.947 0.892
P 7.544 7.338 6.817
P 7.628 0.841 6.503
P 7.628 4.051 6.503
P 8.783 5.329 9.512
P 8.783 9.347 9.512
P 8.808 2.446 7.337
P 8.903 5.642 7.332
P 8.903 9.034 7.332
P 10.492 0.750 1.559
P 10.492 4.142 1.559
P 10.587 7.338 1.564
P 10.612 0.437 3.739
P 10.612 4.455 3.739
P 11.767 5.733 0.731
P 11.767 8.944 0.731
P 11.851 2.446 1.044
P 11.919 0.838 6.665
P 11.919 4.054 6.665
P 12.498 7.338 8.941
P 12.651 0.954 4.418
P 12.651 3.939 4.418
P 12.852 2.446 7.811
Pb 2.638 2.446 7.091
Pb 3.828 7.338 1.318
Pb 9.103 2.446 10.227
Pb 10.293 7.338 4.454
```

Calculated values
Mass density   3.425 Mg/m³
Crystal system   orthorhombic
Energy   -4.837 eV/atom
Relative energy among the computed polymorphs   152 meV per atom